(1)
12
Lattice="4.689 0.000 0.000 0.000 4.700 0.000 0.000 0.000 14.937" Properties=species:S:1:pos:R:3 comment="ScSbBr | Alexandria | GGA-PBE | optimized geometry" e_above_lowest_polymorph_mev_per_atom=82.3 spacegroup="Fmm2 (42)" magmom_total_mub_per_cell=1.28 density_g_cm3=4.98 energy_ev_per_atom=-4.899 formation_energy_uncorrected_ev_per_atom=-0.8567 volume_a3_per_atom=27.4 pbc="T T T"
Sc 0.000 0.000 0.000
Sc 0.000 2.350 7.468
Sc 2.345 0.000 7.468
Sc 2.345 2.350 0.000
Sb 0.000 0.000 9.596
Sb 0.000 2.350 2.128
Sb 2.345 0.000 2.128
Sb 2.345 2.350 9.596
Br 0.000 0.000 5.818
Br 0.000 2.350 13.287
Br 2.345 0.000 13.287
Br 2.345 2.350 5.818



(2)
8
Lattice="3.360 0.000 0.000 0.000 5.633 0.000 0.000 0.000 14.334" Properties=species:S:1:pos:R:3 comment="ScSbBr2 | Alexandria | GGA-PBE | optimized geometry" e_above_lowest_polymorph_mev_per_atom=84.3 spacegroup="Immm (71)" magmom_total_mub_per_cell=0.00 density_g_cm3=4.00 energy_ev_per_atom=-4.278 formation_energy_uncorrected_ev_per_atom=-0.8282 volume_a3_per_atom=33.9 pbc="T T T"
Sc 0.000 0.000 0.000
Sc 1.680 2.817 7.167
Sb 0.000 0.000 7.167
Sb 1.680 2.817 0.000
Br 0.000 2.817 5.053
Br 0.000 2.817 9.281
Br 1.680 0.000 2.114
Br 1.680 0.000 12.219



- Number 2 is which compound?
  ScSbBr2